4
Lattice="-1.309 1.044 -4.216 -1.740 -1.592 -3.874 -4.769 0.923 1.098" Properties=species:S:1:pos:R:3 comment="PBE Li2ReIr, optimized geometry" dos_at_fermi_per_ev_cell=2.45 formation_enthalpy_0k_ev_per_fu=0.16 polymorph_energy_ev_per_atom=0.094 energy_ha_per_atom=-0.2294 space_group="No. 8" pbc="T T T"
Ir -5.687 0.250 -5.260
Li -0.141 0.018 -0.041
Li -1.808 0.066 -1.774
Re -4.091 0.228 -3.413



4
Lattice="-2.074 -1.697 0.212 2.198 -0.952 -1.219 3.308 -3.004 8.314" Properties=species:S:1:pos:R:3 comment="PBE Li2ReIr, optimized geometry" dos_at_fermi_per_ev_cell=2.16 formation_enthalpy_0k_ev_per_fu=0.66 polymorph_energy_ev_per_atom=0.218 energy_ha_per_atom=-0.2249 space_group="No. 35" pbc="T T T"
Ir 2.531 -3.566 5.700
Li 3.245 -2.947 8.157
Li 0.930 -2.112 1.677
Re 1.689 -1.533 4.244



5
Lattice="-3.055 2.595 -0.839 -2.642 -3.140 -0.094 -0.701 0.470 4.007" Properties=species:S:1:pos:R:3 comment="PBE LiRe2IrRh, optimized geometry" dos_at_fermi_per_ev_cell=4.98 formation_enthalpy_0k_ev_per_fu=5.44 energy_ha_per_atom=-0.2762 space_group="No. 123" pbc="T T T"
Re -0.350 0.235 2.004
Re -1.527 1.298 -0.419
Ir -1.321 -1.570 -0.047
Rh -3.199 -0.037 1.538
Li 0.000 0.000 0.000



5
Lattice="4.933 0.000 0.000 0.000 4.863 0.000 0.000 0.000 4.933" Properties=species:S:1:pos:R:3 comment="PBE LiRe2SbIr, optimized geometry" dos_at_fermi_per_ev_cell=4.72 e_form_raw_mev_per_atom=2135 energy_ha_per_atom=-0.2140 space_group="No. 123" pbc="T T T"
Re 0.000 0.000 2.466
Re 2.466 0.000 0.000
Ir 0.000 2.431 0.000
Li 2.466 2.431 2.466
Sb 0.000 0.000 0.000



4
Lattice="4.281 0.000 0.000 2.140 3.707 0.000 2.140 1.236 3.495" Properties=species:S:1:pos:R:3 comment="PBE LiReTcIr, optimized geometry" dos_at_fermi_per_ev_cell=2.29 formation_enthalpy_0k_ev_per_fu=-0.20 energy_ha_per_atom=-0.3104 space_group="No. 216" pbc="T T T"
Re 4.281 2.471 1.748
Ir 6.421 3.707 2.621
Tc 2.140 1.236 0.874
Li 0.000 0.000 0.000



4
Lattice="-1.026 -4.046 0.604 2.903 -3.013 -0.528 1.510 -2.082 3.342" Properties=species:S:1:pos:R:3 comment="PBE LiVReIr, optimized geometry" dos_at_fermi_per_ev_cell=4.30 formation_enthalpy_0k_ev_per_fu=-0.27 energy_ha_per_atom=-0.2996 space_group="No. 216" pbc="T T T"
Re 2.541 -6.856 2.564
Ir 0.847 -2.285 0.855
Li 0.000 0.000 0.000
V 1.694 -4.571 1.709



4
Lattice="-0.116 -1.130 4.174 3.373 -2.039 1.783 2.502 2.057 2.868" Properties=species:S:1:pos:R:3 comment="PBE LiReIrW, optimized geometry" dos_at_fermi_per_ev_cell=2.64 formation_enthalpy_0k_ev_per_fu=-0.08 energy_ha_per_atom=-0.3331 space_group="No. 216" pbc="T T T"
Re 2.879 -0.556 4.413
Ir 0.000 0.000 0.000
W 1.440 -0.278 2.206
Li 4.319 -0.834 6.619



4
Lattice="4.261 0.000 0.000 2.131 3.690 0.000 2.131 1.230 3.479" Properties=species:S:1:pos:R:3 comment="PBE LiZnReIr, optimized geometry" dos_at_fermi_per_ev_cell=2.63 formation_enthalpy_0k_ev_per_fu=-0.10 energy_ha_per_atom=-0.2260 space_group="No. 216" pbc="T T T"
Re 4.261 2.460 1.740
Zn 0.000 0.000 0.000
Ir 6.392 3.690 2.609
Li 2.131 1.230 0.870